Record 1
# Ca2Cd2Hg (GGA-PBE, optimized geometry)
# Relative energy among the computed polymorphs ... 14.83 kJ/mol of atoms
# Formation energy ... -0.21 eV/atom
# Energy ... -1.439 eV per atom
data_Ca2Cd2Hg
_symmetry_space_group_name_H-M 'P 4/m b m'
_symmetry_Int_Tables_number 127
_symmetry_space_group_name_Hall '-P 4 2ab'
_cell_length_a 8.520
_cell_length_b 8.520
_cell_length_c 4.195
_cell_angle_alpha 90.00
_cell_angle_beta 90.00
_cell_angle_gamma 90.00
loop_
_atom_site_label
_atom_site_type_symbol
_atom_site_fract_x
_atom_site_fract_y
_atom_site_fract_z
Ca1 Ca 0.163 0.337 0.000
Cd1 Cd 0.132 0.632 0.500
Hg1 Hg 0.000 0.000 0.000



Record 2
# Ca3Cd3Hg (GGA-PBE, optimized geometry)
# Formation energy ... -0.35 eV/atom
# Energy ... -1.646 eV per atom
data_Ca3Cd3Hg
_symmetry_space_group_name_H-M 'I m m 2'
_symmetry_Int_Tables_number 44
_cell_length_a 3.747
_cell_length_b 5.016
_cell_length_c 20.995
_cell_angle_alpha 90.00
_cell_angle_beta 90.00
_cell_angle_gamma 90.00
loop_
_symmetry_equiv_pos_as_xyz
'x,y,z'
'-x,-y,z'
'-x,y,z'
'x,-y,z'
'x+1/2,y+1/2,z+1/2'
'-x+1/2,-y+1/2,z+1/2'
'-x+1/2,y+1/2,z+1/2'
'x+1/2,-y+1/2,z+1/2'
loop_
_atom_site_label
_atom_site_type_symbol
_atom_site_fract_x
_atom_site_fract_y
_atom_site_fract_z
Ca1 Ca 0.000 0.000 0.000
Ca2 Ca 0.000 0.000 0.387
Ca3 Ca 0.000 0.500 0.199
Cd1 Cd 0.000 0.000 0.552
Cd2 Cd 0.000 0.000 0.840
Cd3 Cd 0.000 0.500 0.627
Hg1 Hg 0.000 0.500 0.763



Record 3
# Ca3Cd2Hg6 (GGA-PBE, optimized geometry)
# Formation energy ... -0.26 eV/atom
# Energy ... -1.141 eV per atom
data_Ca3Cd2Hg6
_symmetry_space_group_name_H-M 'I 4/m m m'
_symmetry_Int_Tables_number 139
_symmetry_space_group_name_Hall '-I 4 2'
_cell_length_a 4.291
_cell_length_b 4.291
_cell_length_c 33.498
_cell_angle_alpha 90.00
_cell_angle_beta 90.00
_cell_angle_gamma 90.00
loop_
_atom_site_label
_atom_site_type_symbol
_atom_site_fract_x
_atom_site_fract_y
_atom_site_fract_z
Ca1 Ca 0.000 0.000 0.000
Ca2 Ca 0.000 0.000 0.180
Cd1 Cd 0.000 0.000 0.362
Hg1 Hg 0.000 0.000 0.274
Hg2 Hg 0.000 0.500 0.072